[1]
! GGA-PBE CdPbN, relaxed; values from VASP
! formation energy without anion corrections	0.570	eV per atom
! energy above the lowest structure with this stoichiometry	0.0	meV/atom
&SYSTEM
  ibrav = 0, nat = 6, ntyp = 3
/
ATOMIC_SPECIES
Cd 112.41 Cd.upf
Pb 207.20 Pb.upf
N 14.01 N.upf
CELL_PARAMETERS angstrom
3.702 0.043 0.258
1.866 3.196 -0.020
0.803 -0.457 11.688
ATOMIC_POSITIONS crystal
Cd 0.446 0.494 0.958
Cd 0.241 0.103 0.721
Pb 0.725 0.344 0.515
Pb 0.948 0.248 0.235
N 0.149 0.147 0.903
N 0.324 0.556 0.161



[2]
! GGA-PBE Nd12Tm7Pu, relaxed; values from VASP
! DFT formation energy	229	meV per atom
&SYSTEM
  ibrav = 0, nat = 20, ntyp = 3
/
ATOMIC_SPECIES
Nd 144.24 Nd.upf
Tm 168.93 Tm.upf
Pu 244.00 Pu.upf
CELL_PARAMETERS angstrom
6.057 0.000 -1.247
-3.156 9.770 -5.109
0.255 0.000 11.466
ATOMIC_POSITIONS crystal
Nd 0.087 0.586 0.174
Nd 0.087 0.174 0.588
Nd 0.571 0.648 0.001
Nd 0.431 0.001 0.353
Nd 0.499 0.412 0.586
Nd 0.078 0.647 0.648
Nd 0.922 0.353 0.352
Nd 0.501 0.588 0.414
Nd 0.569 0.999 0.647
Nd 0.429 0.352 0.999
Nd 0.913 0.826 0.412
Nd 0.913 0.414 0.826
Tm 0.115 0.761 0.002
Tm 0.887 0.002 0.240
Tm 0.646 0.760 0.761
Tm 0.500 0.000 0.000
Tm 0.354 0.240 0.239
Tm 0.113 0.998 0.760
Tm 0.885 0.239 0.998
Pu 0.000 0.000 0.000



[3]
! GGA-PBE YMg2Al, relaxed; values from VASP
! DFT formation energy	-26	meV per atom
&SYSTEM
  ibrav = 0, nat = 4, ntyp = 3
/
ATOMIC_SPECIES
Al 26.98 Al.upf
Mg 24.30 Mg.upf
Y 88.91 Y.upf
CELL_PARAMETERS angstrom
-2.149 -2.240 1.004
2.283 -0.532 3.699
-3.574 4.722 2.884
ATOMIC_POSITIONS crystal
Al 0.500 0.500 0.750
Mg 0.000 0.000 0.973
Mg 0.000 0.000 0.527
Y 0.500 0.500 0.250



Calculated spin magnetization (μB/cell), listed in the same order as above: 0.000; 5.885; 0.000
Calculated V (Å³ per atom), listed in the same order as above: 22.7; 34.1; 23.5
Calculated energy (Ha/atom), listed in the same order as above: -0.1377; -0.1806; -0.1240